(1)
A relaxed structure of TaCdO3, computed with PBE.

Lattice parameters (Å, degrees): 5.327 5.327 6.553 66.02 66.02 60.00
Fractional positions:
1 Cd 0.860 0.860 0.420
2 Cd 0.140 0.140 0.580
3 O 0.942 0.547 0.195
4 O 0.316 0.942 0.195
5 O 0.547 0.316 0.195
6 O 0.453 0.684 0.805
7 O 0.684 0.058 0.805
8 O 0.058 0.453 0.805
9 Ta 0.657 0.657 0.030
10 Ta 0.343 0.343 0.970

Properties
Its space group is R-3 (148).

=====

(2)
A relaxed structure of HoReAsO, computed with PBE.

Lattice parameters (Å, degrees): 4.344 4.652 6.350 90.00 90.00 90.00
Fractional positions:
1 As 0.000 0.357 0.289
2 As 0.000 0.643 0.789
3 Ho 0.500 0.715 0.098
4 Ho 0.500 0.285 0.598
5 O 0.500 0.863 0.431
6 O 0.500 0.137 0.931
7 Re 0.000 0.862 0.436
8 Re 0.000 0.138 0.936

Properties
Its space group is Pmc2_1 (26).

=====

(3)
A relaxed structure of TmPa, computed with PBE.

Lattice parameters (Å, degrees): 4.605 4.605 4.605 60.00 60.00 60.00
Fractional positions:
1 Pa 0.000 0.000 0.000
2 Tm 0.250 0.250 0.250

Properties
The energy relative to the elements comes out at 2.41 eV per atom. Its space group is F-43m (216).

=====

(4)
A relaxed structure of DyAuSO, computed with PBE.

Lattice parameters (Å, degrees): 5.606 5.586 9.086 90.00 90.00 90.00
Fractional positions:
1 Au 0.997 0.250 0.500
2 Au 0.497 0.250 0.500
3 Au 0.503 0.750 0.500
4 Au 0.003 0.750 0.500
5 Dy 0.000 0.000 0.121
6 Dy 0.500 0.500 0.121
7 Dy 0.500 0.000 0.879
8 Dy 0.000 0.500 0.879
9 O 0.250 0.249 0.000
10 O 0.750 0.251 0.000
11 O 0.250 0.749 0.000
12 O 0.750 0.751 0.000
13 S 0.500 0.000 0.283
14 S 0.000 0.500 0.283
15 S 0.000 0.000 0.717
16 S 0.500 0.500 0.717

Properties
Its space group is Pcca (54).

=====

(5)
A relaxed structure of Li4MgTlHg2, computed with PBE.

Lattice parameters (Å, degrees): 5.787 5.787 5.787 110.03 108.04 110.36
Fractional positions:
1 Hg 0.500 0.500 0.000
2 Hg 0.000 0.500 0.500
3 Li 0.000 0.500 0.000
4 Li 0.500 0.500 0.500
5 Li 0.000 0.000 0.500
6 Li 0.500 0.000 0.000
7 Mg 0.000 0.000 0.000
8 Tl 0.500 0.000 0.500

Properties
Its space group is Imm2 (44).

=====

(6)
A relaxed structure of PaPPdO, computed with PBE.

Lattice parameters (Å, degrees): 5.247 5.247 4.570 90.00 90.00 90.00
Fractional positions:
1 O 0.500 0.000 0.000
2 O 0.000 0.500 0.000
3 P 0.500 0.500 0.490
4 P 0.000 0.000 0.510
5 Pa 0.500 0.000 0.500
6 Pa 0.000 0.500 0.500
7 Pd 0.000 0.000 0.011
8 Pd 0.500 0.500 0.989

Properties
Its space group is P4/nmm (129).

=====

(7)
A relaxed structure of KHfAs, computed with PBE.

Lattice parameters (Å, degrees): 4.816 4.816 4.816 60.00 60.00 60.00
Fractional positions:
1 As 0.000 0.000 0.000
2 Hf 0.250 0.250 0.250
3 K 0.750 0.750 0.750

Properties
Its space group is F-43m (216).

=====

(8)
A relaxed structure of Ga5Ir, computed with PBE.

Lattice parameters (Å, degrees): 5.260 5.260 8.480 90.00 90.00 102.64
Fractional positions:
1 Ga 0.829 0.171 0.024
2 Ga 0.592 0.408 0.250
3 Ga 0.115 0.471 0.250
4 Ga 0.529 0.885 0.250
5 Ga 0.829 0.171 0.476
6 Ga 0.171 0.829 0.524
7 Ga 0.471 0.115 0.750
8 Ga 0.885 0.529 0.750
9 Ga 0.408 0.592 0.750
10 Ga 0.171 0.829 0.976
11 Ir 0.050 0.950 0.250
12 Ir 0.950 0.050 0.750

Properties
Its space group is Cmcm (63).

=====

(9)
A relaxed structure of KNiSn, computed with PBE.

Lattice parameters (Å, degrees): 4.798 4.798 4.798 60.00 60.00 60.00
Fractional positions:
1 K 0.250 0.250 0.250
2 Ni 0.000 0.000 0.000
3 Sn 0.750 0.750 0.750

Properties
Its space group is F-43m (216).

=====

(10)
A relaxed structure of Cu2Ag3, computed with PBE.

Lattice parameters (Å, degrees): 4.847 2.840 11.422 90.00 97.16 90.00
Fractional positions:
1 Ag 0.391 0.500 0.185
2 Ag 0.800 0.500 0.386
3 Ag 0.296 0.000 0.396
4 Ag 0.704 0.000 0.604
5 Ag 0.200 0.500 0.614
6 Ag 0.609 0.500 0.815
7 Cu 0.500 0.000 0.000
8 Cu 0.000 0.500 0.000
9 Cu 0.892 0.000 0.179
10 Cu 0.108 0.000 0.821

Properties
The energy relative to the elements comes out at 0.09 eV per atom. Its space group is P2/m (10).

=====

(11)
A relaxed structure of ZrBi2Pd, computed with PBE.

Lattice parameters (Å, degrees): 5.137 5.137 5.137 60.00 60.00 60.00
Fractional positions:
1 Bi 0.000 0.000 0.000
2 Bi 0.750 0.750 0.750
3 Pd 0.500 0.500 0.500
4 Zr 0.250 0.250 0.250

Properties
Its space group is F-43m (216).

=====

(12)
A relaxed structure of LiThSi2, computed with PBE.

Lattice parameters (Å, degrees): 7.774 3.862 10.422 90.00 90.00 90.00
Fractional positions:
1 Li 0.510 0.250 0.103
2 Li 0.010 0.250 0.397
3 Li 0.990 0.750 0.603
4 Li 0.490 0.750 0.897
5 Si 0.736 0.750 0.068
6 Si 0.837 0.250 0.184
7 Si 0.337 0.250 0.316
8 Si 0.236 0.750 0.432
9 Si 0.764 0.250 0.568
10 Si 0.663 0.750 0.684
11 Si 0.163 0.750 0.816
12 Si 0.264 0.250 0.932
13 Th 0.135 0.750 0.138
14 Th 0.635 0.750 0.362
15 Th 0.365 0.250 0.638
16 Th 0.865 0.250 0.862

Properties
Its space group is Pnma (62).

=====

| no. | energy (eV/cell) |
| --- | --- |
| 1 | -75.90 |
| 2 | -62.21 |
| 3 | -9.15 |
| 4 | -98.71 |
| 5 | -14.31 |
| 6 | -55.71 |
| 7 | -14.48 |
| 8 | -48.49 |
| 9 | -9.41 |
| 10 | -30.91 |
| 11 | -21.72 |
| 12 | -89.49 |